<A>
# PBE Pm2Nd2Er5, relaxed
# density of states at the Fermi level: 1.6154 states/eV/atom
# symmetry: Ima2
data_Pm2Nd2Er5
_chemical_formula_sum 'Pm4 Nd4 Er10'
_cell_length_a 10.1268
_cell_length_b 10.1268
_cell_length_c 10.1268
_cell_angle_alpha 84.66
_cell_angle_beta 108.33
_cell_angle_gamma 141.14
_symmetry_space_group_name_H-M 'P 1'
_symmetry_Int_Tables_number 1
loop_
_symmetry_equiv_pos_as_xyz
'x,y,z'
loop_
_atom_site_label
_atom_site_type_symbol
_atom_site_fract_x
_atom_site_fract_y
_atom_site_fract_z
Pm1 Pm 0.0043 0.1268 0.1311
Pm2 Pm 0.0043 0.3732 0.3776
Pm3 Pm 0.9957 0.6268 0.6224
Pm4 Pm 0.9957 0.8732 0.8689
Nd1 Nd 0.4516 0.4516 0.0000
Nd2 Nd 0.4516 0.9516 0.5000
Nd3 Nd 0.5391 0.7994 0.2397
Nd4 Nd 0.5597 0.2994 0.7603
Er1 Er 0.0941 0.0981 0.4960
Er2 Er 0.1020 0.4789 0.9072
Er3 Er 0.1020 0.6947 0.1231
Er4 Er 0.4048 0.2005 0.3108
Er5 Er 0.4048 0.5940 0.7043
Er6 Er 0.5716 0.1947 0.0928
Er7 Er 0.5716 0.9789 0.8769
Er8 Er 0.6021 0.5981 0.5040
Er9 Er 0.8897 0.0940 0.6892
Er10 Er 0.8897 0.7005 0.2957

<B>
# PBE Pm2Nd2Er5, relaxed
# density of states at the Fermi level: 1.2986 states/eV/atom
# symmetry: P-1
data_Pm2Nd2Er5
_chemical_formula_sum 'Pm2 Nd2 Er5'
_cell_length_a 3.5723
_cell_length_b 8.0073
_cell_length_c 10.6918
_cell_angle_alpha 77.46
_cell_angle_beta 89.98
_cell_angle_gamma 77.12
_symmetry_space_group_name_H-M 'P 1'
_symmetry_Int_Tables_number 1
loop_
_symmetry_equiv_pos_as_xyz
'x,y,z'
loop_
_atom_site_label
_atom_site_type_symbol
_atom_site_fract_x
_atom_site_fract_y
_atom_site_fract_z
Pm1 Pm 0.0011 0.4968 0.3342
Pm2 Pm 0.9989 0.5032 0.6658
Nd1 Nd 0.3341 0.8328 0.1116
Nd2 Nd 0.6659 0.1672 0.8884
Er1 Er 0.0000 0.5000 0.0000
Er2 Er 0.3321 0.8370 0.4449
Er3 Er 0.3326 0.8333 0.7764
Er4 Er 0.6674 0.1667 0.2236
Er5 Er 0.6679 0.1630 0.5551

The structure with the most favorable energy is <B>; the runner-up is 0.188 eV/atom above it.

<A>
# PBE Pm2NdEr6, relaxed
# density of states at the Fermi level: 1.4980 states/eV/atom
# symmetry: C2/m
data_Pm2NdEr6
_chemical_formula_sum 'Pm2 Nd1 Er6'
_cell_length_a 9.7669
_cell_length_b 9.7669
_cell_length_c 3.4585
_cell_angle_alpha 90.11
_cell_angle_beta 90.11
_cell_angle_gamma 60.05
_symmetry_space_group_name_H-M 'P 1'
_symmetry_Int_Tables_number 1
loop_
_symmetry_equiv_pos_as_xyz
'x,y,z'
loop_
_atom_site_label
_atom_site_type_symbol
_atom_site_fract_x
_atom_site_fract_y
_atom_site_fract_z
Pm1 Pm 0.1667 0.1667 0.0000
Pm2 Pm 0.8333 0.8333 0.0000
Nd1 Nd 0.5000 0.5000 0.0000
Er1 Er 0.1664 0.4999 0.4998
Er2 Er 0.1662 0.8338 0.5000
Er3 Er 0.4999 0.1664 0.4998
Er4 Er 0.5001 0.8336 0.5002
Er5 Er 0.8338 0.1662 0.5000
Er6 Er 0.8336 0.5001 0.5002

<B>
# PBE Pm2NdEr6, relaxed
# density of states at the Fermi level: 1.2981 states/eV/atom
# symmetry: C2/c
data_Pm2NdEr6
_chemical_formula_sum 'Pm4 Nd2 Er12'
_cell_length_a 9.5426
_cell_length_b 9.5426
_cell_length_c 6.5617
_cell_angle_alpha 98.63
_cell_angle_beta 98.63
_cell_angle_gamma 95.50
_symmetry_space_group_name_H-M 'P 1'
_symmetry_Int_Tables_number 1
loop_
_symmetry_equiv_pos_as_xyz
'x,y,z'
loop_
_atom_site_label
_atom_site_type_symbol
_atom_site_fract_x
_atom_site_fract_y
_atom_site_fract_z
Pm1 Pm 0.1151 0.1686 0.3724
Pm2 Pm 0.1686 0.1151 0.8724
Pm3 Pm 0.8314 0.8849 0.1276
Pm4 Pm 0.8849 0.8314 0.6276
Nd1 Nd 0.3796 0.6204 0.7500
Nd2 Nd 0.6204 0.3796 0.2500
Er1 Er 0.0376 0.4423 0.7335
Er2 Er 0.1534 0.7783 0.9993
Er3 Er 0.2217 0.8466 0.5007
Er4 Er 0.2797 0.4535 0.1817
Er5 Er 0.4423 0.0376 0.2335
Er6 Er 0.4535 0.2797 0.6817
Er7 Er 0.5465 0.7203 0.3183
Er8 Er 0.5577 0.9624 0.7665
Er9 Er 0.7203 0.5465 0.8183
Er10 Er 0.7783 0.1534 0.4993
Er11 Er 0.8466 0.2217 0.0007
Er12 Er 0.9624 0.5577 0.2665

The structure with the most favorable energy is <A>; the runner-up is 0.027 eV/atom above it.

<A>
# PBE Pm5NdEr4, relaxed
# density of states at the Fermi level: 1.3566 states/eV/atom
# symmetry: C2/m
data_Pm5NdEr4
_chemical_formula_sum 'Pm5 Nd1 Er4'
_cell_length_a 8.7602
_cell_length_b 8.7602
_cell_length_c 11.4698
_cell_angle_alpha 108.63
_cell_angle_beta 108.63
_cell_angle_gamma 23.40
_symmetry_space_group_name_H-M 'P 1'
_symmetry_Int_Tables_number 1
loop_
_symmetry_equiv_pos_as_xyz
'x,y,z'
loop_
_atom_site_label
_atom_site_type_symbol
_atom_site_fract_x
_atom_site_fract_y
_atom_site_fract_z
Pm1 Pm 0.0000 0.0000 0.0000
Pm2 Pm 0.2891 0.2891 0.8845
Pm3 Pm 0.3104 0.3104 0.4216
Pm4 Pm 0.6896 0.6896 0.5784
Pm5 Pm 0.7109 0.7109 0.1155
Nd1 Nd 0.0000 0.0000 0.5000
Er1 Er 0.1048 0.1048 0.2965
Er2 Er 0.4173 0.4173 0.2081
Er3 Er 0.5827 0.5827 0.7919
Er4 Er 0.8952 0.8952 0.7035

<B>
# PBE Pm5NdEr4, relaxed
# density of states at the Fermi level: 1.5774 states/eV/atom
# symmetry: C2/m
data_Pm5NdEr4
_chemical_formula_sum 'Pm5 Nd1 Er4'
_cell_length_a 9.2510
_cell_length_b 9.2510
_cell_length_c 10.5141
_cell_angle_alpha 96.25
_cell_angle_beta 96.25
_cell_angle_gamma 22.31
_symmetry_space_group_name_H-M 'P 1'
_symmetry_Int_Tables_number 1
loop_
_symmetry_equiv_pos_as_xyz
'x,y,z'
loop_
_atom_site_label
_atom_site_type_symbol
_atom_site_fract_x
_atom_site_fract_y
_atom_site_fract_z
Pm1 Pm 0.0000 0.0000 0.0000
Pm2 Pm 0.3110 0.3110 0.9042
Pm3 Pm 0.3576 0.3576 0.2684
Pm4 Pm 0.6424 0.6424 0.7316
Pm5 Pm 0.6891 0.6891 0.0958
Nd1 Nd 0.0000 0.0000 0.5000
Er1 Er 0.1833 0.1833 0.4109
Er2 Er 0.4540 0.4540 0.7396
Er3 Er 0.5460 0.5460 0.2604
Er4 Er 0.8167 0.8167 0.5891

The structure with the most favorable energy is <A>; the runner-up is 0.118 eV/atom above it.

<A>
# PBE PmNd3Er3, relaxed
# density of states at the Fermi level: 1.4382 states/eV/atom
# symmetry: R-3
data_PmNd3Er3
_chemical_formula_sum 'Pm2 Nd6 Er6'
_cell_length_a 8.9230
_cell_length_b 8.9230
_cell_length_c 8.9230
_cell_angle_alpha 58.42
_cell_angle_beta 58.42
_cell_angle_gamma 58.42
_symmetry_space_group_name_H-M 'P 1'
_symmetry_Int_Tables_number 1
loop_
_symmetry_equiv_pos_as_xyz
'x,y,z'
loop_
_atom_site_label
_atom_site_type_symbol
_atom_site_fract_x
_atom_site_fract_y
_atom_site_fract_z
Pm1 Pm 0.1559 0.1559 0.1559
Pm2 Pm 0.8441 0.8441 0.8441
Nd1 Nd 0.0661 0.5714 0.2186
Nd2 Nd 0.2186 0.0661 0.5714
Nd3 Nd 0.4286 0.7814 0.9339
Nd4 Nd 0.5714 0.2186 0.0661
Nd5 Nd 0.7814 0.9339 0.4286
Nd6 Nd 0.9339 0.4286 0.7814
Er1 Er 0.2160 0.6728 0.4369
Er2 Er 0.3272 0.5632 0.7840
Er3 Er 0.4369 0.2160 0.6728
Er4 Er 0.5631 0.7840 0.3272
Er5 Er 0.6728 0.4368 0.2160
Er6 Er 0.7840 0.3272 0.5631

<B>
# PBE PmNd3Er3, relaxed
# density of states at the Fermi level: 1.7257 states/eV/atom
# symmetry: P6_3/m
data_PmNd3Er3
_chemical_formula_sum 'Pm2 Nd6 Er6'
_cell_length_a 9.6639
_cell_length_b 9.6639
_cell_length_c 5.7796
_cell_angle_alpha 90.00
_cell_angle_beta 90.00
_cell_angle_gamma 120.00
_symmetry_space_group_name_H-M 'P 1'
_symmetry_Int_Tables_number 1
loop_
_symmetry_equiv_pos_as_xyz
'x,y,z'
loop_
_atom_site_label
_atom_site_type_symbol
_atom_site_fract_x
_atom_site_fract_y
_atom_site_fract_z
Pm1 Pm 0.3333 0.6667 0.2500
Pm2 Pm 0.6667 0.3333 0.7500
Nd1 Nd 0.0958 0.6215 0.7500
Nd2 Nd 0.3785 0.4743 0.7500
Nd3 Nd 0.4743 0.0958 0.2500
Nd4 Nd 0.5257 0.9042 0.7500
Nd5 Nd 0.6215 0.5257 0.2500
Nd6 Nd 0.9042 0.3785 0.2500
Er1 Er 0.0462 0.8138 0.2500
Er2 Er 0.1862 0.2323 0.2500
Er3 Er 0.2323 0.0462 0.7500
Er4 Er 0.7677 0.9538 0.2500
Er5 Er 0.8138 0.7677 0.7500
Er6 Er 0.9538 0.1862 0.7500

The structure with the most favorable energy is <B>; the runner-up is 0.170 eV/atom above it.